A plane-wave DFT calculation with PBE was carried out for a relaxed structure of TmSc5Al6.

Cell: 4.836 6.753 14.510 Å, 90.00 90.00 90.00°
Space group Immm (No. 71)
One atom of each set of equivalent atoms:
Tm1 0.000 0.000 0.000 [2 per cell]
Sc1 0.000 0.000 0.331 [4 per cell]
Sc2 0.000 0.500 0.000 [2 per cell]
Sc3 0.000 0.500 0.337 [4 per cell]
Al1 0.000 0.235 0.500 [4 per cell]
Al2 0.000 0.257 0.170 [8 per cell]

## Properties
- energy of formation (eV per formula unit) = -5.2
- total moment (μB per formula unit) = 0.00